Entry from Alexandria via LeMat-Bulk: Sr2Ga2NiO6 after structural relaxation (PBE+U).

## Properties
E: -5.649 eV/atom

```
data_Sr2Ga2NiO6
_cell_length_a 5.8033
_cell_length_b 5.8033
_cell_length_c 16.6337
_cell_angle_alpha 90.00
_cell_angle_beta 90.00
_cell_angle_gamma 120.00
_space_group_name_H-M_alt 'R -3 m'
_space_group_IT_number 166
_space_group_name_Hall '-R 3 2"'
loop_
_atom_site_label
_atom_site_type_symbol
_atom_site_fract_x
_atom_site_fract_y
_atom_site_fract_z
Sr1 Sr 0.0000 0.0000 0.2029
Ga1 Ga 0.0000 0.0000 0.4120
Ni1 Ni 0.0000 0.0000 0.0000
O1 O 0.0202 0.5101 0.7514
```